No. 1
## Nd2Pa2Se5 (GGA-PBE)

Data for Nd2Pa2Se5 after structural relaxation.

a = 4.164 Å, b = 4.164 Å, c = 19.300 Å
α = 90.00°, β = 90.00°, γ = 120.00°
Positions (direct):
Nd 0.333 0.667 0.091
Nd 0.667 0.333 0.909
Pa 0.333 0.667 0.675
Pa 0.667 0.333 0.325
Se 0.000 0.000 0.000
Se 0.333 0.667 0.403
Se 0.333 0.667 0.821
Se 0.667 0.333 0.179
Se 0.667 0.333 0.597

Calculated values
ΔE_f (raw) = -1.238 eV/atom



No. 2
## Nd6PaSe8 (GGA-PBE)

Data for Nd6PaSe8 after structural relaxation.

a = 8.422 Å, b = 8.422 Å, c = 8.422 Å
α = 60.00°, β = 60.00°, γ = 60.00°
Positions (direct):
Nd 0.000 0.000 0.500
Nd 0.000 0.500 0.000
Nd 0.000 0.500 0.500
Nd 0.500 0.000 0.000
Nd 0.500 0.000 0.500
Nd 0.500 0.500 0.000
Pa 0.000 0.000 0.000
Se 0.248 0.248 0.752
Se 0.248 0.752 0.248
Se 0.248 0.752 0.752
Se 0.250 0.250 0.250
Se 0.750 0.750 0.750
Se 0.752 0.248 0.248
Se 0.752 0.248 0.752
Se 0.752 0.752 0.248

Calculated values
ΔE_f (raw) = -1.753 eV/atom



No. 3
## Nd5PaSe6 (GGA-PBE)

Data for Nd5PaSe6 after structural relaxation.

a = 7.265 Å, b = 7.265 Å, c = 7.277 Å
α = 99.57°, β = 99.57°, γ = 119.79°
Positions (direct):
Nd 0.000 0.000 0.000
Nd 0.166 0.834 0.500
Nd 0.324 0.676 0.000
Nd 0.676 0.324 0.000
Nd 0.834 0.166 0.500
Pa 0.500 0.500 0.500
Se 0.095 0.419 0.257
Se 0.261 0.261 0.752
Se 0.419 0.095 0.257
Se 0.581 0.905 0.743
Se 0.739 0.739 0.248
Se 0.905 0.581 0.743

Calculated values
ΔE_f (raw) = -1.719 eV/atom